## P
Here is a geometry-optimized HfGe3Te structure from Alexandria. Energies are from PBE.

Cell and atoms, written as POSCAR:
```
HfGe3Te
1.0
-4.517 2.599 0.416
-2.520 -4.509 0.805
0.759 0.495 5.149
Ge Te Hf
3 1 1
Direct
0.500 0.000 0.000
0.000 0.500 0.000
0.000 0.000 0.500
0.500 0.500 0.500
0.000 0.000 0.000
```

* N(E_F): 3.918 states/eV/f.u.

---

## Q
Here is a geometry-optimized HfGe3Te structure from Alexandria. Energies are from PBE.

Cell and atoms, written as POSCAR:
```
HfGe3Te
1.0
-3.422 -1.455 3.609
-2.507 -2.853 -3.526
2.977 -4.075 1.180
Ge Te Hf
3 1 1
Direct
0.000 0.500 0.000
0.500 0.000 0.000
0.000 0.000 0.500
0.000 0.000 0.000
0.500 0.500 0.500
```

* N(E_F): 6.201 states/eV/f.u.

---

Most stable to least stable, the ends of the list are P and Q.

---

## P
Here is a geometry-optimized Hf2TiGe2 structure from Alexandria. Energies are from PBE.

Cell and atoms, written as POSCAR:
```
Hf2TiGe2
1.0
-1.695 6.080 -2.875
-6.701 -1.775 0.196
-0.307 1.537 3.432
Ge Hf Ti
4 4 2
Direct
0.867 0.633 0.000
0.633 0.133 0.000
0.133 0.367 0.000
0.367 0.867 0.000
0.671 0.829 0.500
0.329 0.171 0.500
0.829 0.329 0.500
0.171 0.671 0.500
0.000 0.000 0.000
0.500 0.500 0.000
```

* N(E_F): 4.609 states/eV/f.u.

---

## Q
Here is a geometry-optimized Hf2TiGe2 structure from Alexandria. Energies are from PBE.

Cell and atoms, written as POSCAR:
```
Hf2TiGe2
1.0
4.413 0.000 0.000
0.000 5.544 0.000
-2.207 0.000 7.583
Ge Ti Hf
4 2 4
Direct
0.578 0.977 0.155
0.186 0.477 0.372
0.422 0.477 0.845
0.814 0.977 0.628
0.603 0.477 0.207
0.397 0.977 0.793
0.000 0.727 0.000
0.806 0.477 0.612
0.194 0.977 0.388
0.000 0.227 0.000
```

* N(E_F): 3.473 states/eV/f.u.

---

Most stable to least stable, the ends of the list are P and Q.

---

## P
Here is a geometry-optimized Hf3TiGe structure from Alexandria. Energies are from PBE.

Cell and atoms, written as POSCAR:
```
Hf3TiGe
1.0
4.951 0.000 0.000
0.000 4.951 0.000
0.000 0.000 4.951
Hf Ge Ti
3 1 1
Direct
0.000 0.000 0.500
0.000 0.500 0.000
0.500 0.000 0.000
0.000 0.000 0.000
0.500 0.500 0.500
```

* N(E_F): 10.709 states/eV/f.u.

---

## Q
Here is a geometry-optimized Hf3TiGe structure from Alexandria. Energies are from PBE.

Cell and atoms, written as POSCAR:
```
Hf3TiGe
1.0
4.895 0.000 0.000
0.000 4.895 0.000
0.000 0.000 4.895
Ge Hf Ti
1 3 1
Direct
0.500 0.500 0.500
0.000 0.000 0.500
0.500 0.000 0.000
0.000 0.500 0.000
0.000 0.000 0.000
```

* N(E_F): 7.090 states/eV/f.u.

---

Most stable to least stable, the ends of the list are P and Q.

---

## P
Here is a geometry-optimized Hf2TlGe structure from Alexandria. Energies are from PBE.

Cell and atoms, written as POSCAR:
```
Hf2TlGe
1.0
0.000 3.462 3.462
3.462 0.000 3.462
3.462 3.462 0.000
Hf Ge Tl
2 1 1
Direct
0.250 0.250 0.250
0.750 0.750 0.750
0.000 0.000 0.000
0.500 0.500 0.500
```

* N(E_F): 5.573 states/eV/f.u.

---

## Q
Here is a geometry-optimized Hf2TlGe structure from Alexandria. Energies are from PBE.

Cell and atoms, written as POSCAR:
```
Hf2TlGe
1.0
7.626 0.000 0.000
0.000 7.626 0.000
3.813 3.813 3.048
Tl Hf Ge
2 4 2
Direct
0.750 0.250 0.500
0.000 0.000 0.000
0.875 0.855 0.750
0.605 0.125 0.250
0.145 0.625 0.250
0.375 0.395 0.750
0.250 0.750 0.500
0.500 0.500 0.000
```

* N(E_F): 2.240 states/eV/f.u.

---

Most stable to least stable, the ends of the list are Q and P.

---

## P
Here is a geometry-optimized Hf3TlGe structure from Alexandria. Energies are from PBE.

Cell and atoms, written as POSCAR:
```
Hf3TlGe
1.0
4.967 0.000 0.000
0.000 4.967 0.000
0.000 0.000 4.967
Hf Tl Ge
3 1 1
Direct
0.500 0.000 0.000
0.000 0.000 0.500
0.000 0.500 0.000
0.500 0.500 0.500
0.000 0.000 0.000
```

* N(E_F): 4.392 states/eV/f.u.

---

## Q
Here is a geometry-optimized Hf3TlGe structure from Alexandria. Energies are from PBE.

Cell and atoms, written as POSCAR:
```
Hf3TlGe
1.0
5.252 0.000 0.000
0.000 5.252 0.000
0.000 0.000 5.252
Hf Ge Tl
3 1 1
Direct
0.500 0.000 0.000
0.000 0.000 0.500
0.000 0.500 0.000
0.500 0.500 0.500
0.000 0.000 0.000
```

* N(E_F): 8.091 states/eV/f.u.

---

Most stable to least stable, the ends of the list are P and Q.

---

## P
Here is a geometry-optimized TmHfGe2 structure from Alexandria. Energies are from PBE.

Cell and atoms, written as POSCAR:
```
TmHfGe2
1.0
3.928 0.000 0.000
0.000 5.527 0.000
0.000 0.000 7.372
Hf Ge Tm
2 4 2
Direct
0.500 0.379 0.319
0.500 0.621 0.819
0.500 0.899 0.455
0.500 0.101 0.955
0.000 0.408 0.046
0.000 0.592 0.546
0.000 0.879 0.180
0.000 0.121 0.680
```

* N(E_F): 1.645 states/eV/f.u.

---

## Q
Here is a geometry-optimized TmHfGe2 structure from Alexandria. Energies are from PBE.

Cell and atoms, written as POSCAR:
```
TmHfGe2
1.0
3.897 0.000 0.000
1.949 3.375 0.000
1.949 1.125 6.666
Hf Ge Tm
1 2 1
Direct
0.000 0.000 0.000
0.256 0.256 0.233
0.744 0.744 0.767
0.500 0.500 0.500
```

* N(E_F): 1.925 states/eV/f.u.

---

Most stable to least stable, the ends of the list are P and Q.